A geometry-optimized Gd2TlRh structure. Source: Alexandria, functional GGA-PBE.

Cell: 3.926 3.926 8.541 Å, 76.71 76.71 60.00°
Last column: magnetic moment on the atom in μB.
Fractional coordinates of all 4 atoms:
Rh 0.000 0.000 0.000  -0.04
Tl 0.500 0.500 0.500  -0.02
Gd 0.733 0.733 0.801  6.99
Gd 0.267 0.267 0.199  6.99

E above lowest polymorph ... 6.0 kJ per mole of atoms
Energy of formation from the pure elements ... -0.52 eV per atom

A geometry-optimized Gd3TlRh structure. Source: Alexandria, functional GGA-PBE.

Cell: 5.377 5.377 5.377 Å, 90.00 90.00 90.00°
Last column: magnetic moment on the atom in μB.
Fractional coordinates of all 5 atoms:
Rh 0.000 0.000 0.000  0.01
Gd 0.000 0.000 0.500  7.07
Tl 0.500 0.500 0.500  -0.01
Gd 0.500 0.000 0.000  7.07
Gd 0.000 0.500 0.000  7.07

Energy of formation from the pure elements ... -0.34 eV per atom

A geometry-optimized GdTm2Rh structure. Source: Alexandria, functional GGA-PBE.

Cell: 3.450 3.450 8.610 Å, 90.00 90.00 90.00°
Last column: magnetic moment on the atom in μB.
Fractional coordinates of all 4 atoms:
Gd 0.500 0.500 0.500  7.32
Rh 0.500 0.500 0.000  0.02
Tm 0.000 0.000 0.188  0.07
Tm 0.000 0.000 0.812  0.07

E above lowest polymorph ... 0.0 kJ per mole of atoms
Energy of formation from the pure elements ... -0.46 eV per atom

A geometry-optimized GdTm2Rh structure. Source: Alexandria, functional GGA-PBE.

Cell: 3.736 3.736 9.569 Å, 78.74 78.74 60.00°
Last column: magnetic moment on the atom in μB.
Fractional coordinates of all 4 atoms:
Rh 0.000 0.000 0.000  0.03
Tm 0.726 0.726 0.822  0.10
Gd 0.500 0.500 0.500  7.37
Tm 0.274 0.274 0.178  0.10

E above lowest polymorph ... 9.9 kJ per mole of atoms
Energy of formation from the pure elements ... -0.35 eV per atom

A geometry-optimized GdTmZnRh structure. Source: Alexandria, functional GGA-PBE.

Cell: 4.927 4.927 4.927 Å, 60.00 60.00 60.00°
Last column: magnetic moment on the atom in μB.
Fractional coordinates of all 4 atoms:
Rh 0.500 0.500 0.500  -0.03
Zn 0.000 0.000 0.000  0.00
Tm 0.250 0.250 0.250  0.01
Gd 0.750 0.750 0.750  7.01

Energy of formation from the pure elements ... -0.60 eV per atom

A geometry-optimized GdY3Rh structure. Source: Alexandria, functional GGA-PBE.

Cell: 5.425 5.425 5.425 Å, 90.00 90.00 90.00°
Last column: magnetic moment on the atom in μB.
Fractional coordinates of all 5 atoms:
Gd 0.500 0.500 0.500  7.25
Rh 0.000 0.000 0.000  0.02
Y 0.000 0.500 0.000  0.06
Y 0.500 0.000 0.000  0.06
Y 0.000 0.000 0.500  0.06

Energy of formation from the pure elements ... -0.24 eV per atom

no.,spin magnetization (μB per formula unit)
1,14.13
2,21.81
3,7.88
4,8.25
5,7.09
6,8.10